one | Below is crystalline LiY2Cu2 at its relaxed geometry, with properties calculated at the PBE-GGA level.

Values from the calculation:
Crystal system: tetragonal
Volume: 110.9 Å³ per cell

```
5
Lattice="3.532 0.000 0.000 0.000 3.532 0.000 1.766 1.766 8.885" Properties=species:S:1:pos:R:3 pbc="T T T"
Y 3.532 3.532 6.800
Cu 3.532 1.766 4.443
Li 0.000 0.000 0.000
Y 1.766 1.766 2.085
Cu 1.766 3.532 4.443
```



two | Below is crystalline LiY2Cu2 at its relaxed geometry, with properties calculated at the PBE-GGA level.

Values from the calculation:
Crystal system: tetragonal
Volume: 220.1 Å³ per cell

```
10
Lattice="8.109 0.000 0.000 0.000 8.109 0.000 0.000 0.000 3.347" Properties=species:S:1:pos:R:3 pbc="T T T"
Li 0.000 0.000 0.000
Cu 3.000 1.055 1.674
Y 2.775 6.829 0.000
Y 6.829 5.335 0.000
Cu 1.055 5.110 1.674
Cu 7.054 3.000 1.674
Li 4.055 4.055 0.000
Y 1.280 2.775 0.000
Y 5.335 1.280 0.000
Cu 5.110 7.054 1.674
```



three | Below is crystalline LiY2Cu2 at its relaxed geometry, with properties calculated at the PBE-GGA level.

Values from the calculation:
Crystal system: tetragonal
Volume: 215.4 Å³ per cell

```
10
Lattice="7.585 0.000 0.000 0.000 7.585 0.000 0.000 0.000 3.744" Properties=species:S:1:pos:R:3 pbc="T T T"
Cu 6.666 4.711 0.000
Y 1.302 5.094 1.872
Cu 0.919 2.874 0.000
Cu 4.711 0.919 0.000
Li 0.000 0.000 0.000
Y 6.283 2.490 1.872
Y 5.094 6.283 1.872
Y 2.490 1.302 1.872
Li 3.792 3.792 0.000
Cu 2.874 6.666 0.000
```



Most stable one: three, least stable one: one.